1.
A crystal of AlCd2Ag relaxed with PBEsol. Source: the Alexandria database, functional meta-GGA SCAN.

Calculated values
- Energy of formation from the pure elements: 32 meV/atom
- SG: Cm, No. 8
- Crystal system: monoclinic

Cell: 9.408 3.021 5.326 Å, 90.00 101.58 90.00°
Atoms (fractional coordinates):
1 Al 0.000 0.000 0.000
2 Al 0.500 0.500 0.000
3 Cd 0.249 0.000 0.738
4 Cd 0.490 0.000 0.475
5 Cd 0.749 0.500 0.738
6 Cd 0.990 0.500 0.475
7 Ag 0.237 0.500 0.216
8 Ag 0.737 0.000 0.216


2.
A crystal of AlCd4Ag relaxed with PBEsol. Source: the Alexandria database, functional meta-GGA SCAN.

Calculated values
- Energy of formation from the pure elements: 239 meV/atom
- SG: F-43m, No. 216
- Crystal system: cubic

Cell: 5.591 5.591 5.591 Å, 60.00 60.00 60.00°
Atoms (fractional coordinates):
1 Al 0.000 0.000 0.000
2 Cd 0.126 0.625 0.625
3 Cd 0.625 0.126 0.625
4 Cd 0.625 0.625 0.126
5 Cd 0.625 0.625 0.625
6 Ag 0.250 0.250 0.250


3.
A crystal of AlCdAg2 relaxed with PBEsol. Source: the Alexandria database, functional meta-GGA SCAN.

Calculated values
- Energy of formation from the pure elements: -44 meV/atom
- SG: Cm, No. 8
- Crystal system: monoclinic

Cell: 9.783 3.012 4.787 Å, 90.00 105.14 90.00°
Atoms (fractional coordinates):
1 Al 0.000 0.000 0.000
2 Al 0.500 0.500 0.000
3 Cd 0.254 0.500 0.285
4 Cd 0.754 0.000 0.285
5 Ag 0.010 0.500 0.517
6 Ag 0.262 0.000 0.793
7 Ag 0.510 0.000 0.517
8 Ag 0.762 0.500 0.793


4.
A crystal of AlCdAg relaxed with PBEsol. Source: the Alexandria database, functional meta-GGA SCAN.

Calculated values
- ΔE to the lowest computed polymorph: 6 kJ/mol of formula units
- Energy of formation from the pure elements: 7 meV/atom
- SG: Imm2, No. 44
- Crystal system: orthorhombic

Cell: 3.213 3.888 8.477 Å, 90.00 90.00 90.00°
Atoms (fractional coordinates):
1 Al 0.000 0.000 0.000
2 Al 0.500 0.500 0.500
3 Cd 0.000 0.000 0.672
4 Cd 0.500 0.500 0.172
5 Ag 0.000 0.000 0.341
6 Ag 0.500 0.500 0.841


5.
A crystal of AlCdAg2 relaxed with PBEsol. Source: the Alexandria database, functional meta-GGA SCAN.

Calculated values
- Energy of formation from the pure elements: -38 meV/atom
- SG: C2/m, No. 12
- Crystal system: monoclinic

Cell: 9.346 2.970 5.041 Å, 90.00 102.32 90.00°
Atoms (fractional coordinates):
1 Al 0.000 0.000 0.000
2 Al 0.500 0.500 0.000
3 Cd 0.000 0.500 0.500
4 Cd 0.500 0.000 0.500
5 Ag 0.241 0.500 0.238
6 Ag 0.259 0.000 0.762
7 Ag 0.741 0.000 0.238
8 Ag 0.759 0.500 0.762


6.
A crystal of Al2CdAg relaxed with PBEsol. Source: the Alexandria database, functional meta-GGA SCAN.

Calculated values
- Energy of formation from the pure elements: 65 meV/atom
- SG: I4/mmm, No. 139
- Crystal system: tetragonal

Cell: 4.121 4.121 8.290 Å, 90.00 90.00 90.00°
Atoms (fractional coordinates):
1 Al 0.000 0.500 0.250
2 Al 0.000 0.500 0.750
3 Al 0.500 0.000 0.250
4 Al 0.500 0.000 0.750
5 Cd 0.000 0.000 0.000
6 Cd 0.500 0.500 0.500
7 Ag 0.000 0.000 0.500
8 Ag 0.500 0.500 0.000


- Look up the energy of formation from the pure elements of the sixth one.
  65 meV/atom